No. 1
VASP calculation (PBE) on an optimized crystal structure of PrEr15Sc4.

Values from the calculation:
formation energy from the elements	0.04	eV/atom
M_tot	0.000	μB/f.u.
calculated total energy	-4.886	eV per atom
space group	P4/mmm, No. 123
DOS(E_F)	30.594	states/eV/cell

Geometry as POSCAR:
```
PrEr15Sc4
1.0
-3.133 -2.760 2.578
3.420 -0.654 3.457
-7.999 20.006 11.699
Pr Er Sc
1 15 4
direct
0.000 0.000 0.000
0.500 0.500 0.000
0.500 0.500 0.205
0.500 0.500 0.401
0.500 0.500 0.599
0.500 0.500 0.795
0.500 0.000 0.105
0.500 0.000 0.302
0.500 0.000 0.500
0.500 0.000 0.698
0.500 0.000 0.895
0.000 0.500 0.105
0.000 0.500 0.302
0.000 0.500 0.500
0.000 0.500 0.698
0.000 0.500 0.895
0.000 0.000 0.203
0.000 0.000 0.401
0.000 0.000 0.599
0.000 0.000 0.797
```

No. 2
VASP calculation (PBE) on an optimized crystal structure of Pr6Er3Sc.

Values from the calculation:
formation energy from the elements	0.20	eV/atom
M_tot	0.002	μB/f.u.
calculated total energy	-4.666	eV per atom
space group	R3, No. 146
DOS(E_F)	19.381	states/eV/cell

Geometry as POSCAR:
```
Pr6Er3Sc
1.0
-4.715 -5.526 6.754
-7.353 -6.043 -2.794
-1.377 -6.811 0.749
Pr Er Sc
6 3 1
direct
0.932 0.603 0.203
0.262 0.932 0.203
0.603 0.262 0.203
0.096 0.438 0.699
0.768 0.096 0.699
0.438 0.768 0.699
0.350 0.350 0.949
0.605 0.605 0.185
0.096 0.096 0.713
0.850 0.850 0.449
```

No. 3
VASP calculation (PBE) on an optimized crystal structure of Pr3Er12Sc.

Values from the calculation:
formation energy from the elements	0.03	eV/atom
M_tot	0.000	μB/f.u.
calculated total energy	-4.681	eV per atom
space group	P4/mmm, No. 123
DOS(E_F)	22.869	states/eV/cell

Geometry as POSCAR:
```
Pr3Er12Sc
1.0
4.999 0.000 0.000
0.000 4.999 0.000
0.000 0.000 19.962
Pr Er Sc
3 12 1
direct
0.000 0.000 0.247
0.000 0.000 0.500
0.000 0.000 0.753
0.500 0.500 0.000
0.500 0.500 0.246
0.500 0.500 0.500
0.500 0.500 0.754
0.500 0.000 0.119
0.500 0.000 0.373
0.500 0.000 0.627
0.500 0.000 0.881
0.000 0.500 0.119
0.000 0.500 0.373
0.000 0.500 0.627
0.000 0.500 0.881
0.000 0.000 0.000
```

No. 4
VASP calculation (PBE) on an optimized crystal structure of Pr6ErSc2.

Values from the calculation:
formation energy from the elements	0.17	eV/atom
M_tot	0.000	μB/f.u.
calculated total energy	-4.935	eV per atom
space group	Cmmm, No. 65
DOS(E_F)	12.752	states/eV/cell

Geometry as POSCAR:
```
Pr6ErSc2
1.0
3.624 0.000 0.001
0.001 9.038 4.150
-0.001 1.683 9.802
Pr Er Sc
6 1 2
direct
0.000 0.510 0.156
0.000 0.844 0.490
0.000 0.490 0.844
0.500 0.683 0.317
0.000 0.156 0.510
0.500 0.317 0.683
0.000 0.000 0.000
0.500 0.174 0.174
0.500 0.826 0.826
```

No. 5
VASP calculation (PBE) on an optimized crystal structure of Pr14ErSc.

Values from the calculation:
formation energy from the elements	0.02	eV/atom
M_tot	0.000	μB/f.u.
calculated total energy	-4.842	eV per atom
space group	P4/mmm, No. 123
DOS(E_F)	23.607	states/eV/cell

Geometry as POSCAR:
```
Pr14ErSc
1.0
-6.326 3.730 0.080
-2.173 -3.811 5.890
4.295 7.150 6.210
Pr Er Sc
14 1 1
direct
0.375 0.625 0.500
0.875 0.125 0.500
0.875 0.625 0.000
0.875 0.625 0.500
0.375 0.125 0.000
0.375 0.125 0.500
0.627 0.877 0.755
0.627 0.877 0.245
0.123 0.373 0.755
0.123 0.373 0.245
0.123 0.877 0.756
0.123 0.877 0.244
0.627 0.373 0.755
0.627 0.373 0.245
0.375 0.625 0.000
0.875 0.125 0.000
```

No. 6
VASP calculation (PBE) on an optimized crystal structure of PrErSc3.

Values from the calculation:
formation energy from the elements	0.05	eV/atom
M_tot	0.000	μB/f.u.
calculated total energy	-5.622	eV per atom
space group	P2_1/m, No. 11
DOS(E_F)	19.295	states/eV/cell

Geometry as POSCAR:
```
PrErSc3
1.0
5.424 0.000 0.000
0.000 5.835 1.126
0.000 1.325 9.079
Pr Er Sc
2 2 6
direct
0.250 0.964 0.895
0.750 0.036 0.105
0.750 0.242 0.685
0.250 0.758 0.315
0.250 0.372 0.105
0.750 0.628 0.895
0.750 0.833 0.507
0.250 0.167 0.493
0.250 0.572 0.698
0.750 0.428 0.302
```

No. 7
VASP calculation (PBE) on an optimized crystal structure of Pr8Er5Sc.

Values from the calculation:
formation energy from the elements	0.26	eV/atom
M_tot	0.011	μB/f.u.
calculated total energy	-4.552	eV per atom
space group	I-4, No. 82
DOS(E_F)	21.492	states/eV/cell

Geometry as POSCAR:
```
Pr8Er5Sc
1.0
-2.199 -7.196 4.100
8.329 -0.041 -2.015
-1.842 6.480 5.296
Pr Er Sc
8 5 1
direct
0.167 0.728 0.068
0.932 0.099 0.659
0.739 0.263 0.343
0.657 0.396 0.920
0.524 0.604 0.261
0.561 0.901 0.833
0.341 0.272 0.439
0.080 0.737 0.476
0.029 0.307 0.127
0.873 0.902 0.180
0.820 0.693 0.722
0.500 0.000 0.500
0.278 0.098 0.971
0.250 0.500 0.750
```

No. 8
VASP calculation (PBE) on an optimized crystal structure of Pr15Er4Sc.

Values from the calculation:
formation energy from the elements	0.01	eV/atom
M_tot	0.000	μB/f.u.
calculated total energy	-4.800	eV per atom
space group	P4/mmm, No. 123
DOS(E_F)	24.955	states/eV/cell

Geometry as POSCAR:
```
Pr15Er4Sc
1.0
5.168 0.000 0.000
0.000 5.168 0.000
0.000 0.000 25.738
Pr Er Sc
15 4 1
direct
0.500 0.500 0.000
0.500 0.500 0.198
0.500 0.500 0.400
0.500 0.500 0.600
0.500 0.500 0.802
0.500 0.000 0.098
0.500 0.000 0.299
0.500 0.000 0.500
0.500 0.000 0.701
0.500 0.000 0.902
0.000 0.500 0.098
0.000 0.500 0.299
0.000 0.500 0.500
0.000 0.500 0.701
0.000 0.500 0.902
0.000 0.000 0.198
0.000 0.000 0.399
0.000 0.000 0.601
0.000 0.000 0.802
0.000 0.000 0.000
```

No. 9
VASP calculation (PBE) on an optimized crystal structure of Pr3Er5Sc.

Values from the calculation:
formation energy from the elements	0.27	eV/atom
M_tot	0.006	μB/f.u.
calculated total energy	-4.563	eV per atom
space group	I4/mcm, No. 140
DOS(E_F)	21.650	states/eV/cell

Geometry as POSCAR:
```
Pr3Er5Sc
1.0
-6.755 -1.842 -5.100
5.293 -4.007 -5.564
-0.312 -3.689 9.101
Pr Er Sc
6 10 2
direct
0.619 0.119 0.000
0.381 0.881 0.000
0.881 0.619 0.000
0.119 0.381 0.000
0.250 0.250 0.500
0.750 0.750 0.500
0.066 0.566 0.719
0.653 0.153 0.719
0.153 0.066 0.719
0.566 0.653 0.719
0.934 0.434 0.281
0.347 0.847 0.281
0.847 0.934 0.281
0.434 0.347 0.281
0.500 0.500 0.000
0.000 0.000 0.000
0.750 0.250 0.500
0.250 0.750 0.500
```

No. 10
VASP calculation (PBE) on an optimized crystal structure of Pr2Er12Sc.

Values from the calculation:
formation energy from the elements	0.38	eV/atom
M_tot	0.000	μB/f.u.
calculated total energy	-4.328	eV per atom
space group	P4/nbm, No. 125
DOS(E_F)	59.586	states/eV/cell

Geometry as POSCAR:
```
Pr2Er12Sc
1.0
-5.369 -3.217 -1.533
0.811 -3.803 5.139
-12.981 15.292 13.365
Pr Er Sc
4 24 2
direct
0.500 0.000 0.261
0.000 0.500 0.261
0.000 0.500 0.739
0.500 0.000 0.739
0.500 0.500 0.793
0.000 0.000 0.793
0.751 0.749 0.896
0.251 0.751 0.896
0.000 0.000 0.336
0.249 0.749 0.104
0.831 0.331 0.562
0.500 0.500 0.336
0.249 0.251 0.896
0.749 0.751 0.104
0.331 0.169 0.562
0.669 0.169 0.438
0.000 0.000 0.664
0.169 0.331 0.438
0.251 0.249 0.104
0.831 0.669 0.438
0.669 0.831 0.562
0.000 0.000 0.207
0.169 0.669 0.562
0.500 0.500 0.664
0.749 0.249 0.896
0.500 0.500 0.207
0.331 0.831 0.438
0.751 0.251 0.104
0.500 0.000 0.000
0.000 0.500 0.000
```

No. 11
VASP calculation (PBE) on an optimized crystal structure of PrErSc3.

Values from the calculation:
formation energy from the elements	0.04	eV/atom
M_tot	0.000	μB/f.u.
calculated total energy	-5.625	eV per atom
space group	P-1, No. 2
DOS(E_F)	16.399	states/eV/cell

Geometry as POSCAR:
```
PrErSc3
1.0
-4.414 1.985 3.845
-3.974 -4.391 1.770
2.570 -2.152 7.708
Pr Er Sc
2 2 6
direct
0.982 0.868 0.738
0.444 0.329 0.742
0.010 0.416 0.513
0.416 0.781 0.967
0.521 0.912 0.497
0.864 0.743 0.143
0.367 0.243 0.148
0.905 0.284 0.982
0.563 0.454 0.336
0.060 0.953 0.331
```

No. 12
VASP calculation (PBE) on an optimized crystal structure of Pr2Er6Sc.

Values from the calculation:
formation energy from the elements	0.08	eV/atom
M_tot	0.004	μB/f.u.
calculated total energy	-4.724	eV per atom
space group	P-3, No. 147
DOS(E_F)	17.551	states/eV/cell

Geometry as POSCAR:
```
Pr2Er6Sc
1.0
-1.605 -0.402 3.093
-8.020 3.861 -3.660
1.425 -9.505 -0.496
Pr Er Sc
2 6 1
direct
0.265 0.667 0.333
0.735 0.333 0.667
0.228 0.661 0.684
0.228 0.023 0.339
0.228 0.316 0.977
0.772 0.339 0.316
0.772 0.977 0.661
0.772 0.684 0.023
0.500 0.000 0.000
```